# LiMg2Sc2, relaxed, DFT PBE
# relative energy among the computed polymorphs: 0.240 eV/atom
# energy of formation from the pure elements: 0.207 eV/atom
# E_tot: -3.35 eV/atom
data_LiMg2Sc2
_cell_length_a 8.862
_cell_length_b 8.862
_cell_length_c 3.250
_cell_angle_alpha 90.00
_cell_angle_beta 90.00
_cell_angle_gamma 90.00
_space_group_name_H-M_alt 'P 1'
_space_group_IT_number 1
_space_group_name_Hall 'P 1'
loop_
_atom_site_label
_atom_site_type_symbol
_atom_site_fract_x
_atom_site_fract_y
_atom_site_fract_z
Sc1 Sc 0.379 0.879 0.000
Sc2 Sc 0.879 0.621 0.000
Sc3 Sc 0.621 0.121 0.000
Sc4 Sc 0.121 0.379 0.000
Mg1 Mg 0.173 0.673 0.500
Mg2 Mg 0.673 0.827 0.500
Mg3 Mg 0.827 0.327 0.500
Mg4 Mg 0.327 0.173 0.500
Li1 Li 0.000 0.000 0.000
Li2 Li 0.500 0.500 0.000

***

# Si4C, relaxed, DFT PBE
# relative energy among the computed polymorphs: 0.832 eV/atom
# raw formation energy: 1.459 eV per atom
# E_tot: -4.72 eV/atom
data_Si4C
_cell_length_a 5.410
_cell_length_b 5.410
_cell_length_c 5.410
_cell_angle_alpha 133.18
_cell_angle_beta 133.18
_cell_angle_gamma 68.38
_space_group_name_H-M_alt 'P 1'
_space_group_IT_number 1
_space_group_name_Hall 'P 1'
loop_
_atom_site_label
_atom_site_type_symbol
_atom_site_fract_x
_atom_site_fract_y
_atom_site_fract_z
Si1 Si 0.750 0.250 0.500
Si2 Si 0.250 0.750 0.500
Si3 Si 0.627 0.627 0.000
Si4 Si 0.373 0.373 0.000
C1 C 0.000 0.000 0.000

***

> Look up the E_tot of the second one.

-4.72 eV/atom